No. 1
A geometry-optimized TbZnRh2 structure. Source: Alexandria via LeMat-Bulk, functional PBE.

Geometry as CIF:
```
data_TbZnRh2
_cell_length_a 6.469
_cell_length_b 6.469
_cell_length_c 6.469
_cell_angle_alpha 90.00
_cell_angle_beta 90.00
_cell_angle_gamma 90.00
_symmetry_space_group_name_H-M 'F m -3 m'
_symmetry_Int_Tables_number 225
_symmetry_space_group_name_Hall '-F 4 2 3'
loop_
_atom_site_label
_atom_site_type_symbol
_atom_site_fract_x
_atom_site_fract_y
_atom_site_fract_z
_atom_site_occupancy
Tb1 Tb 0.000 0.000 0.000 1
Zn1 Zn 0.000 0.000 0.500 1
Rh1 Rh 0.250 0.250 0.250 1
```

E = -5.79 eV per atom
crystal system = cubic
ΔE_f = -2.5 eV per formula unit

***

No. 2
A geometry-optimized Tb2ZnRh3 structure. Source: Alexandria via LeMat-Bulk, functional PBE.

Geometry as CIF:
```
data_Tb2ZnRh3
_cell_length_a 5.5537
_cell_length_b 5.5537
_cell_length_c 8.1230
_cell_angle_alpha 90.00
_cell_angle_beta 90.00
_cell_angle_gamma 120.00
_symmetry_space_group_name_H-M 'P 63/m m c'
_symmetry_Int_Tables_number 194
_symmetry_space_group_name_Hall '-P 6c 2c'
loop_
_atom_site_label
_atom_site_type_symbol
_atom_site_fract_x
_atom_site_fract_y
_atom_site_fract_z
_atom_site_occupancy
Tb1 Tb 0.3333 0.6667 0.0591 1
Zn1 Zn 0.0000 0.0000 0.0000 1
Rh1 Rh 0.1680 0.3360 0.7500 1
```

E = -6.16 eV per atom
energy above the most stable polymorph in this dataset = 0.00 eV/f.u.
crystal system = hexagonal
ΔE_f = -4.3 eV per formula unit

***

No. 3
A geometry-optimized Tb5Zn2Rh2 structure. Source: Alexandria via LeMat-Bulk, functional PBE.

Geometry as CIF:
```
data_Tb5Zn2Rh2
_cell_length_a 15.459
_cell_length_b 7.353
_cell_length_c 7.636
_cell_angle_alpha 90.00
_cell_angle_beta 90.00
_cell_angle_gamma 90.00
_symmetry_space_group_name_H-M 'C m c e'
_symmetry_Int_Tables_number 64
_symmetry_space_group_name_Hall '-C 2ac 2'
loop_
_atom_site_label
_atom_site_type_symbol
_atom_site_fract_x
_atom_site_fract_y
_atom_site_fract_z
_atom_site_occupancy
Tb1 Tb 0.000 0.000 0.000 1
Tb2 Tb 0.129 0.174 0.325 1
Zn1 Zn 0.213 0.000 0.000 1
Rh1 Rh 0.000 0.128 0.633 1
```

E = -5.00 eV per atom
crystal system = orthorhombic
ΔE_f = -4.6 eV per formula unit

***

No. 4
A geometry-optimized Tb2Zn2Rh structure. Source: Alexandria via LeMat-Bulk, functional PBE.

Geometry as CIF:
```
data_Tb2Zn2Rh
_cell_length_a 10.419
_cell_length_b 6.072
_cell_length_c 7.025
_cell_angle_alpha 90.00
_cell_angle_beta 110.51
_cell_angle_gamma 90.00
_symmetry_space_group_name_H-M 'C 1 2/c 1'
_symmetry_Int_Tables_number 15
loop_
_symmetry_equiv_pos_as_xyz
'x,y,z'
'-x,-y,-z'
'-x,y,-z+1/2'
'x,-y,z+1/2'
'x+1/2,y+1/2,z'
'-x+1/2,-y+1/2,-z'
'-x+1/2,y+1/2,-z+1/2'
'x+1/2,-y+1/2,z+1/2'
loop_
_atom_site_label
_atom_site_type_symbol
_atom_site_fract_x
_atom_site_fract_y
_atom_site_fract_z
_atom_site_occupancy
Tb1 Tb 0.163 0.089 0.142 1
Zn1 Zn 0.093 0.384 0.455 1
Rh1 Rh 0.000 0.248 0.750 1
```

E = -4.35 eV per atom
crystal system = monoclinic
ΔE_f = -2.6 eV per formula unit